Entry 1:
# Pr3NdPt2

Crystalline Pr3NdPt2 at its relaxed geometry (PBE-GGA, Alexandria via LeMat-Bulk).

Cell and atoms, written as extended XYZ:
```
12
Lattice="-4.0396 -1.9400 3.1457 8.7007 1.2235 7.1630 -4.6947 5.3207 -2.7475" Properties=species:S:1:pos:R:3 pbc="T T T"
Pr 1.3611 3.7392 4.0540
Pr 0.8841 3.0006 7.7508
Pr -3.8843 2.8207 1.5163
Pr 3.8507 1.7834 6.0449
Pr -0.9177 1.6035 -0.1896
Pr -1.3948 0.8649 3.5072
Nd -2.4031 4.2122 4.2767
Nd 2.3695 0.3919 3.2845
Pt -5.7873 3.4349 -0.5487
Pt 5.7537 1.1692 8.1099
Pt 0.4378 0.7035 5.7610
Pt -0.4714 3.9006 1.8003
```

## Properties
Energy of formation   -0.68 eV per atom
Space-group type   No. 12
Polymorph energy (0 for the lowest one)   112 meV per atom

Entry 2:
# SrRuRh4S8

Crystalline SrRuRh4S8 at its relaxed geometry (PBE-GGA, Alexandria via LeMat-Bulk).

Cell and atoms, written as extended XYZ:
```
14
Lattice="7.2297 0.0000 0.0000 3.6148 6.2611 0.0000 3.6148 2.0870 5.9205" Properties=species:S:1:pos:R:3 pbc="T T T"
Sr 7.2297 4.1741 3.5897
Ru 10.8445 6.2611 0.2225
Rh 7.2297 4.1741 0.6289
Rh 10.8445 4.0932 3.0821
Rh 8.9671 7.3450 3.0821
Rh 12.7220 7.3450 3.0821
S 7.2297 6.6642 4.5771
S 9.3862 2.9290 4.5771
S 5.0732 2.9290 4.5771
S 3.6148 2.0870 1.8592
S 7.2297 1.9484 1.6445
S 5.3022 5.2869 1.6445
S 9.1571 5.2869 1.6445
S 10.8445 6.2611 4.2721
```

## Properties
Space-group type   No. 160
Formation energy without anion corrections   -0.494 eV/atom

Entry 3:
# Ho2SnPt

Crystalline Ho2SnPt at its relaxed geometry (PBE-GGA, Alexandria via LeMat-Bulk).

Cell and atoms, written as extended XYZ:
```
8
Lattice="4.3719 0.0000 0.0000 0.0000 5.6732 -2.1287 0.0000 -0.1352 8.0570" Properties=species:S:1:pos:R:3 pbc="T T T"
Ho 3.2790 1.0783 3.1627
Ho 1.0930 4.4598 2.7656
Ho 1.0930 4.3468 -0.8659
Ho 3.2790 1.1912 6.7942
Sn 1.0930 1.7871 0.9880
Sn 3.2790 3.7509 4.9402
Pt 3.2790 3.7510 0.9601
Pt 1.0930 1.7870 4.9682
```

## Properties
Energy of formation   -1.02 eV per atom
Space-group type   No. 11

Entry 4:
# InFe4Rh

Crystalline InFe4Rh at its relaxed geometry (PBE-GGA, Alexandria via LeMat-Bulk).

Cell and atoms, written as extended XYZ:
```
6
Lattice="0.0000 3.4522 3.4522 3.4522 0.0000 3.4522 3.4522 3.4522 0.0000" Properties=species:S:1:pos:R:3 pbc="T T T"
In 1.7261 1.7261 1.7261
Fe 2.5893 2.5893 4.3152
Fe 2.5893 4.3152 2.5893
Fe 4.3152 4.3152 4.3152
Fe 4.3152 2.5893 2.5893
Rh 0.0000 0.0000 0.0000
```

## Properties
Energy of formation   0.04 eV per atom
Space-group type   No. 216

Entry 5:
# InIr2

Crystalline InIr2 at its relaxed geometry (PBE-GGA, Alexandria via LeMat-Bulk).

Cell and atoms, written as extended XYZ:
```
6
Lattice="1.4375 5.2484 -0.0284 -1.4375 5.2484 -0.0284 0.0000 1.9601 6.5050" Properties=species:S:1:pos:R:3 pbc="T T T"
In 0.0000 5.5434 1.8831
In 0.0000 6.9135 4.5650
Ir 0.0000 3.4895 6.3692
Ir 0.0000 9.6619 4.0975
Ir 0.0000 2.7950 2.3507
Ir 0.0000 8.9674 0.0789
```

## Properties
Energy of formation   0.09 eV per atom
Space-group type   No. 12

Entry 6:
# PrN2F4

Crystalline PrN2F4 at its relaxed geometry (PBE-GGA, Alexandria via LeMat-Bulk).

Cell and atoms, written as extended XYZ:
```
7
Lattice="4.3980 0.0000 -0.7355 -0.2661 3.5111 -1.5910 -0.8171 -0.7672 8.6310" Properties=species:S:1:pos:R:3 pbc="T T T"
Pr 0.0000 0.0000 0.0000
N 0.7393 0.8100 4.4203
N 2.5756 1.9339 1.8842
F 0.0651 2.3348 0.3893
F 3.2498 0.4090 5.9152
F 0.9585 2.0803 5.7312
F 2.3564 0.6636 0.5733
```

## Properties
Space-group type   No. 12
Formation energy without anion corrections   -0.895 eV/atom

Entry 7:
# NaSnMoH

Crystalline NaSnMoH at its relaxed geometry (PBE-GGA, Alexandria via LeMat-Bulk).

Cell and atoms, written as extended XYZ:
```
8
Lattice="2.9310 0.0000 -0.0007 0.0000 4.6487 0.0000 -2.7954 0.0000 11.2503" Properties=species:S:1:pos:R:3 pbc="T T T"
Na 1.0350 0.0000 5.6556
Na 2.4326 2.3244 0.0305
Sn -0.3804 0.0000 8.5741
Sn 1.0172 2.3244 2.9489
Mo -0.4427 0.0000 2.5866
Mo -1.8404 2.3244 8.2117
H 2.5015 0.0000 0.8505
H 1.1038 2.3244 6.4756
```

## Properties
Space-group type   No. 8
Polymorph energy (0 for the lowest one)   62 meV per atom

Entry 8:
# RbNi2W

Crystalline RbNi2W at its relaxed geometry (PBE-GGA, Alexandria via LeMat-Bulk).

Cell and atoms, written as extended XYZ:
```
8
Lattice="7.2918 0.0000 0.0000 0.0000 7.2918 0.0000 3.6459 3.6459 3.6519" Properties=species:S:1:pos:R:3 pbc="T T T"
Ni 6.1584 1.8229 0.9130
Ni 1.1334 5.4688 0.9130
Ni 5.4688 4.7793 2.7389
Ni 9.1147 9.8043 2.7389
Rb 3.6459 3.6459 0.0000
Rb 3.6459 7.2918 1.8259
W 0.0000 0.0000 0.0000
W 7.2918 3.6459 1.8259
```

## Properties
Energy of formation   1.38 eV per atom
Space-group type   No. 122
Polymorph energy (0 for the lowest one)   0 meV per atom

Entry 9:
# NdSm4Th2

Crystalline NdSm4Th2 at its relaxed geometry (PBE-GGA, Alexandria via LeMat-Bulk).

Cell and atoms, written as extended XYZ:
```
7
Lattice="-0.7123 -1.7080 5.3172 6.5382 -7.7057 -1.6000 0.9478 5.2967 1.8114" Properties=species:S:1:pos:R:3 pbc="T T T"
Nd 0.0000 0.0000 0.0002
Sm 1.9106 -1.0719 2.8868
Sm 4.8629 -3.0455 2.6423
Sm 2.5593 1.9979 0.9790
Sm 4.2146 -6.1146 4.5487
Th 3.7429 -1.2046 0.1064
Th 6.6559 -5.9113 1.9638
```

## Properties
Energy of formation   0.36 eV per atom
Space-group type   No. 2
Polymorph energy (0 for the lowest one)   0 meV per atom

Entry 10:
# Li2Dy2YGe2

Crystalline Li2Dy2YGe2 at its relaxed geometry (PBE-GGA, Alexandria via LeMat-Bulk).

Cell and atoms, written as extended XYZ:
```
7
Lattice="4.4394 0.0000 0.0000 2.2197 3.8446 0.0000 2.2197 1.2815 9.0261" Properties=species:S:1:pos:R:3 pbc="T T T"
Li 4.4394 2.5631 1.7330
Li 4.4394 2.5631 7.2931
Dy 2.2197 1.2815 5.6144
Dy 6.6591 3.8446 3.4118
Y 0.0000 0.0000 0.0000
Ge 6.6591 3.8446 7.1785
Ge 2.2197 1.2815 1.8477
```

## Properties
Energy of formation   -0.49 eV per atom
Space-group type   No. 166

Entry 11:
# Ge2Bi2Os

Crystalline Ge2Bi2Os at its relaxed geometry (PBE-GGA, Alexandria via LeMat-Bulk).

Cell and atoms, written as extended XYZ:
```
10
Lattice="-2.8268 5.2685 3.7888 -5.4525 0.3125 -4.5027 -2.4866 -3.3333 2.7798" Properties=species:S:1:pos:R:3 pbc="T T T"
Ge -5.2025 -0.6793 -0.9678
Ge -7.7183 2.0181 0.0162
Ge -5.5635 2.9270 3.0336
Ge -3.0477 0.2296 2.0496
Os 0.0000 0.0000 0.0000
Os -4.1397 2.7905 -0.3570
Bi -5.5777 2.0784 -2.4973
Bi -5.9616 4.6536 0.2473
Bi -2.7017 3.5026 1.7833
Bi -2.3177 0.9274 -0.9612
```

## Properties
Energy of formation   0.83 eV per atom
Space-group type   No. 127

Entry 12:
# RbMn2InSn

Crystalline RbMn2InSn at its relaxed geometry (PBE-GGA, Alexandria via LeMat-Bulk).

Cell and atoms, written as extended XYZ:
```
5
Lattice="-2.9501 -4.2403 1.0530 0.4939 -1.7589 -5.6992 4.3474 -2.7224 1.2170" Properties=species:S:1:pos:R:3 pbc="T T T"
Mn 2.1737 -1.3612 0.6085
Mn -1.4751 -2.1202 0.5265
Sn 0.0000 0.0000 0.0000
Rb 0.9456 -4.3608 -1.7146
In 0.2470 -0.8794 -2.8496
```

## Properties
Energy of formation   0.71 eV per atom
Space-group type   No. 123

Entry 13:
# ZnTcHRh2

Crystalline ZnTcHRh2 at its relaxed geometry (PBE-GGA, Alexandria via LeMat-Bulk).

Cell and atoms, written as extended XYZ:
```
5
Lattice="3.9379 0.0000 0.0000 0.0000 3.9379 0.0000 0.0000 0.0000 3.8818" Properties=species:S:1:pos:R:3 pbc="T T T"
H 0.0000 0.0000 0.0000
Zn 1.9690 1.9690 1.9409
Rh 0.0000 1.9690 0.0000
Rh 1.9690 0.0000 0.0000
Tc 0.0000 0.0000 1.9409
```

## Properties
Space-group type   No. 123

Entry 14:
# Tb2Pm3Tm6

Crystalline Tb2Pm3Tm6 at its relaxed geometry (PBE-GGA, Alexandria via LeMat-Bulk).

Cell and atoms, written as extended XYZ:
```
11
Lattice="-0.5171 -0.9847 4.5851 -2.4307 -3.8887 -1.1092 15.5226 -6.2638 -2.0220" Properties=species:S:1:pos:R:3 pbc="T T T"
Tb 12.7462 -7.8938 -0.2578
Tb -0.1714 -3.2434 1.7116
Pm 0.0000 0.0000 0.0000
Pm 6.8445 -7.5883 1.5697
Pm 5.7303 -3.5488 -0.1159
Tm 2.1864 -4.0511 -0.6234
Tm 3.1432 -2.5991 2.2238
Tm 10.3884 -7.0861 2.0773
Tm 9.4316 -8.5381 -0.7699
Tm 3.9294 -5.7830 1.6287
Tm 8.6454 -5.3542 -0.1748
```

## Properties
Energy of formation   0.28 eV per atom
Space-group type   No. 139
Polymorph energy (0 for the lowest one)   73 meV per atom

Entry 15:
# Ba3PmY3Se8

Crystalline Ba3PmY3Se8 at its relaxed geometry (PBE-GGA, Alexandria via LeMat-Bulk).

Cell and atoms, written as extended XYZ:
```
15
Lattice="-5.9269 5.9204 1.2612 -2.2071 -8.1658 -0.4920 4.3399 2.7806 7.3419" Properties=species:S:1:pos:R:3 pbc="T T T"
Ba 0.0000 0.0000 0.0000
Ba -1.1035 -4.0829 -0.2460
Ba -4.0670 -1.1227 0.3846
Pm 2.1699 1.3903 3.6709
Y -0.7935 4.3505 4.3015
Y -1.8970 0.2676 4.0555
Y 1.0664 -2.6926 3.4249
Se -1.4654 -1.9302 2.1745
Se -2.3287 2.4654 5.9366
Se -4.3928 1.0683 2.7946
Se 0.5988 -0.5331 5.3165
Se -3.3124 5.0554 3.0367
Se -0.4816 -4.5201 5.0744
Se -0.4209 2.1670 2.4214
Se -3.3732 -1.6318 5.6897
```

## Properties
Space-group type   No. 166
Formation energy without anion corrections   -1.932 eV/atom

Entry 16:
# CoReTc2

Crystalline CoReTc2 at its relaxed geometry (PBE-GGA, Alexandria via LeMat-Bulk).

Cell and atoms, written as extended XYZ:
```
4
Lattice="-1.3108 0.1483 2.8398 1.6414 -2.5140 0.8889 4.1823 3.3514 1.7554" Properties=species:S:1:pos:R:3 pbc="T T T"
Co 2.1666 1.7362 0.9093
Re 3.1453 1.2052 3.1151
Tc 4.1775 3.3476 1.7533
Tc 1.2971 -0.2759 2.3394
```

## Properties
Energy of formation   0.16 eV per atom
Space-group type   No. 99
Polymorph energy (0 for the lowest one)   130 meV per atom

Entry 17:
# PmPr3Nd2

Crystalline PmPr3Nd2 at its relaxed geometry (PBE-GGA, Alexandria via LeMat-Bulk).

Cell and atoms, written as extended XYZ:
```
12
Lattice="-8.3866 3.2557 0.8203 -0.7984 -0.2066 -7.3423 -1.8762 -5.8627 4.0864" Properties=species:S:1:pos:R:3 pbc="T T T"
Pm -3.9437 -1.0104 -3.2602
Pm -7.1175 -1.8032 0.8247
Pr -6.1743 1.1248 -1.2211
Pr -7.5101 -1.9065 -2.8472
Pr -6.5731 1.0216 -4.8882
Pr -4.4881 -3.8352 2.4526
Pr -4.8868 -3.9384 -1.2145
Pr -3.5510 -0.9071 0.4116
Nd 0.0000 0.0000 0.0000
Nd -1.3373 -3.0346 -1.6279
Nd -0.3992 -0.1033 -3.6712
Nd -0.9381 -2.9313 2.0432
```

## Properties
Energy of formation   0.01 eV per atom
Space-group type   No. 164
Polymorph energy (0 for the lowest one)   0 meV per atom

no.,total energy (eV per atom),spin magnetization (μB per atom)
1,-5.874,0.00
2,-5.735,0.00
3,-5.818,0.00
4,-7.279,1.82
5,-6.725,0.00
6,-5.026,0.71
7,-4.650,0.00
8,-4.987,0.41
9,-5.134,0.00
10,-4.591,0.00
11,-4.814,0.00
12,-4.495,1.59
13,-5.905,0.36
14,-4.301,0.00
15,-5.784,0.00
16,-9.913,0.00
17,-4.762,0.00